(1)
A plane-wave DFT calculation with PBE was carried out for Ca3La12Sm after structural relaxation.

```
Ca3La12Sm
1.0
5.303 0.000 0.000
0.000 5.303 0.000
0.000 0.000 21.211
Ca La Sm
3 12 1
direct
0.000 0.000 0.248
0.000 0.000 0.500
0.000 0.000 0.752
0.500 0.500 0.000
0.500 0.500 0.249
0.500 0.500 0.500
0.500 0.500 0.751
0.500 0.000 0.121
0.500 0.000 0.374
0.500 0.000 0.626
0.500 0.000 0.879
0.000 0.500 0.121
0.000 0.500 0.374
0.000 0.500 0.626
0.000 0.500 0.879
0.000 0.000 0.000
```

Crystal system: tetragonal
Formation energy: 0.048 eV per atom
Spin magnetization: 0.0 μB per formula unit
SG: P4/mmm (123)
Total energy: -4.3183 eV/atom

(2)
A plane-wave DFT calculation with PBE was carried out for CaLa2P2Cl2 after structural relaxation.

```
CaLa2P2Cl2
1.0
5.289 0.000 0.000
0.000 5.289 0.000
-2.645 -2.645 7.352
Ca La P Cl
1 2 2 2
direct
0.000 0.000 0.000
0.391 0.391 0.783
0.609 0.609 0.217
0.000 0.500 0.000
0.500 0.000 0.000
0.204 0.204 0.409
0.796 0.796 0.591
```

Raw formation energy: -1516 meV per atom
Crystal system: tetragonal
Spin magnetization: 0.0 μB per formula unit
SG: I4/mmm (139)
Total energy: -5.2834 eV/atom

(3)
A plane-wave DFT calculation with PBE was carried out for Li3ThAg3 after structural relaxation.

```
Li3ThAg3
1.0
-3.469 -0.267 -5.700
-2.412 -5.977 1.749
-5.171 2.967 3.008
Ag Th Li
6 2 6
direct
0.250 0.000 0.500
0.000 0.500 0.250
0.500 0.750 0.000
0.750 0.000 0.500
0.000 0.500 0.750
0.500 0.250 0.000
0.500 0.500 0.500
0.000 0.000 0.000
0.000 0.250 0.500
0.000 0.750 0.500
0.500 0.000 0.750
0.750 0.500 0.000
0.500 0.000 0.250
0.250 0.500 0.000
```

Crystal system: cubic
Formation energy: 0.306 eV per atom
Spin magnetization: 0.0 μB per formula unit
SG: Pm-3n (223)
Total energy: -2.7962 eV/atom

no.,volume (Å³ per atom)
1,37.28
2,29.39
3,21.27